Material: Pm3Co
Method: DFT, GGA-PBE
State: relaxed

## Properties
excess energy over the best structure of this formula in the dataset: 0.025 eV/atom
formation energy from the elements: 0.022 eV per atom

Structure (POSCAR):
```
Pm3Co
1.0
3.923 0.000 0.000
0.000 3.923 0.000
-1.961 -1.961 7.761
Co Pm
1 3
direct
0.000 0.000 0.000 Co
0.500 0.500 0.000 Pm
0.171 0.171 0.343 Pm
0.829 0.829 0.657 Pm
```

Material: LaGe2Pt7
Method: DFT, GGA-PBE
State: relaxed

## Properties
formation energy from the elements: -0.335 eV per atom

Structure (POSCAR):
```
LaGe2Pt7
1.0
4.595 0.000 0.000
0.000 7.192 -0.187
0.000 -3.340 6.372
La Ge Pt
1 2 7
direct
0.000 0.000 0.000 La
0.500 0.699 0.301 Ge
0.500 0.301 0.699 Ge
0.000 0.770 0.230 Pt
0.000 0.230 0.770 Pt
0.500 0.071 0.305 Pt
0.500 0.929 0.695 Pt
0.500 0.305 0.071 Pt
0.500 0.695 0.929 Pt
0.500 0.500 0.500 Pt
```

Material: LaDyCd
Method: DFT, GGA-PBE
State: relaxed

## Properties
excess energy over the best structure of this formula in the dataset: 0.067 eV/atom
formation energy from the elements: -0.127 eV per atom

Structure (POSCAR):
```
LaDyCd
1.0
-0.798 2.826 -5.110
-4.643 -2.098 2.962
2.240 4.977 4.103
La Dy Cd
2 2 2
direct
0.666 0.334 0.000 La
0.334 0.666 0.000 La
0.862 0.862 0.725 Dy
0.138 0.138 0.275 Dy
0.750 0.250 0.500 Cd
0.250 0.750 0.500 Cd
```

Material: Ho8Er6Mg
Method: DFT, GGA-PBE
State: relaxed

## Properties
excess energy over the best structure of this formula in the dataset: 0.146 eV/atom
formation energy from the elements: 0.248 eV per atom

Structure (POSCAR):
```
Ho8Er6Mg
1.0
-3.423 1.655 5.385
1.952 -8.139 3.743
5.596 7.134 1.364
Ho Er Mg
8 6 1
direct
0.889 0.986 0.312 Ho
0.889 0.688 0.675 Ho
0.889 0.325 0.014 Ho
0.111 0.014 0.688 Ho
0.111 0.312 0.325 Ho
0.111 0.675 0.986 Ho
0.827 0.333 0.667 Ho
0.173 0.667 0.333 Ho
0.604 0.679 0.087 Er
0.604 0.913 0.591 Er
0.604 0.409 0.321 Er
0.396 0.321 0.913 Er
0.396 0.087 0.409 Er
0.396 0.591 0.679 Er
0.500 0.000 0.000 Mg
```

Material: RbGa3Tc
Method: DFT, GGA-PBE
State: relaxed

## Properties
excess energy over the best structure of this formula in the dataset: 0.083 eV/atom
formation energy from the elements: -0.061 eV per atom

Structure (POSCAR):
```
RbGa3Tc
1.0
4.809 0.006 -0.002
-1.998 13.440 0.008
2.583 -0.086 4.485
Rb Ga Tc
2 6 2
direct
0.927 0.315 0.606 Rb
0.685 0.998 0.142 Rb
0.110 0.817 0.625 Ga
0.034 0.618 0.613 Ga
0.503 0.535 0.608 Ga
0.564 0.696 0.117 Ga
0.487 0.496 0.106 Ga
0.096 0.778 0.122 Ga
0.580 0.739 0.620 Tc
0.017 0.574 0.110 Tc
```

Material: CaPuTlHg
Method: DFT, GGA-PBE
State: relaxed

## Properties
excess energy over the best structure of this formula in the dataset: 0.000 eV/atom
formation energy from the elements: -0.264 eV per atom

Structure (POSCAR):
```
CaPuTlHg
1.0
3.710 0.000 0.000
0.000 3.710 0.000
0.000 0.000 8.070
Ca Pu Tl Hg
1 1 1 1
direct
0.000 0.000 0.366 Ca
0.000 0.000 0.850 Pu
0.500 0.500 0.109 Tl
0.500 0.500 0.603 Hg
```

Material: Y2Al
Method: DFT, GGA-PBE
State: relaxed

## Properties
formation energy from the elements: -0.283 eV per atom

Structure (POSCAR):
```
Y2Al
1.0
-1.280 -7.222 4.248
4.735 6.027 -3.618
0.089 2.614 4.471
Al Y
2 4
direct
0.629 0.371 0.000 Al
0.482 0.518 0.500 Al
0.976 0.024 0.000 Y
0.279 0.721 0.000 Y
0.832 0.168 0.500 Y
0.135 0.865 0.500 Y
```

Material: CdHg2Br
Method: DFT, GGA-PBE
State: relaxed

## Properties
excess energy over the best structure of this formula in the dataset: 0.058 eV/atom
formation energy from raw total energies: -0.1379 eV per atom

Structure (POSCAR):
```
CdHg2Br
1.0
-1.993 3.805 -0.187
-0.176 -0.306 -4.334
-5.635 -3.042 -1.821
Hg Br Cd
2 1 1
direct
0.000 0.000 0.000 Hg
0.500 0.500 0.000 Hg
0.500 0.500 0.500 Br
0.000 0.000 0.500 Cd
```

Material: TiCuPd2
Method: DFT, GGA-PBE
State: relaxed

## Properties
formation energy from the elements: -0.504 eV per atom

Structure (POSCAR):
```
TiCuPd2
1.0
-1.487 3.890 1.632
-2.881 -2.324 2.914
3.964 -0.097 3.841
Ti Cu Pd
2 2 4
direct
0.000 0.337 0.500 Ti
0.500 0.663 0.000 Ti
0.500 0.680 0.500 Cu
0.000 0.320 0.000 Cu
0.500 0.182 0.250 Pd
0.500 0.182 0.750 Pd
0.000 0.818 0.750 Pd
0.000 0.818 0.250 Pd
```

Material: Pm4PrIr2
Method: DFT, GGA-PBE
State: relaxed

## Properties
formation energy from the elements: -0.403 eV per atom

Structure (POSCAR):
```
Pm4PrIr2
1.0
4.680 0.000 0.000
0.000 9.364 0.000
0.000 0.000 9.364
Pm Pr Ir
8 2 4
direct
0.000 0.041 0.298 Pm
0.000 0.959 0.702 Pm
0.500 0.202 0.541 Pm
0.500 0.798 0.459 Pm
0.500 0.459 0.798 Pm
0.500 0.541 0.202 Pm
0.000 0.298 0.041 Pm
0.000 0.702 0.959 Pm
0.500 0.000 0.000 Pr
0.000 0.500 0.500 Pr
0.000 0.279 0.721 Ir
0.000 0.721 0.279 Ir
0.500 0.779 0.779 Ir
0.500 0.221 0.221 Ir
```

Material: InBi2F2
Method: DFT, GGA-PBE
State: relaxed

## Properties
excess energy over the best structure of this formula in the dataset: 0.094 eV/atom
formation energy from raw total energies: -0.8988 eV per atom

Structure (POSCAR):
```
InBi2F2
1.0
-5.868 1.249 -6.067
3.466 -6.264 -4.642
-1.878 -2.069 1.390
F Bi In
4 4 2
direct
0.136 0.636 0.500 F
0.636 0.864 0.500 F
0.864 0.364 0.500 F
0.364 0.136 0.500 F
0.299 0.799 0.000 Bi
0.799 0.701 0.000 Bi
0.701 0.201 0.000 Bi
0.201 0.299 0.000 Bi
0.000 0.000 0.000 In
0.500 0.500 0.000 In
```

Material: AlHgSe3
Method: DFT, GGA-PBE
State: relaxed

## Properties
excess energy over the best structure of this formula in the dataset: 0.559 eV/atom
formation energy from raw total energies: 0.6574 eV per atom

Structure (POSCAR):
```
AlHgSe3
1.0
-5.037 -0.948 -1.325
0.803 -5.191 0.661
-1.418 0.428 5.082
Hg Se Al
1 3 1
direct
0.000 0.000 0.000 Hg
0.000 0.500 0.000 Se
0.000 0.000 0.500 Se
0.500 0.000 0.000 Se
0.500 0.500 0.500 Al
```

Material: La2TeBr
Method: DFT, GGA-PBE
State: relaxed

## Properties
excess energy over the best structure of this formula in the dataset: 0.432 eV/atom
formation energy from raw total energies: -0.9908 eV per atom

Structure (POSCAR):
```
La2TeBr
1.0
-0.855 -10.404 -0.948
2.720 -10.000 1.579
-1.282 -9.836 3.391
Te Br La
1 1 2
direct
0.515 0.515 0.515 Te
0.734 0.734 0.734 Br
0.012 0.012 0.012 La
0.240 0.240 0.240 La
```

Material: BaNdZnN2
Method: DFT, GGA-PBE
State: relaxed

## Properties
formation energy from raw total energies: -0.4766 eV per atom

Structure (POSCAR):
```
BaNdZnN2
1.0
5.509 0.000 0.000
0.000 5.891 0.792
0.000 -0.941 6.985
Ba Nd Zn N
2 2 2 4
direct
0.001 0.500 0.750 Ba
0.999 0.500 0.250 Ba
0.500 0.000 0.250 Nd
0.500 0.000 0.750 Nd
0.000 0.000 0.000 Zn
0.000 0.000 0.500 Zn
0.733 0.806 0.000 N
0.733 0.194 0.500 N
0.267 0.806 0.500 N
0.267 0.194 0.000 N
```

Material: GeP
Method: DFT, GGA-PBE
State: relaxed

## Properties
formation energy from the elements: 0.164 eV per atom

Structure (POSCAR):
```
GeP
1.0
-1.991 -2.034 -2.384
3.117 -0.997 -1.753
0.219 -2.017 1.537
Ge P
1 1
direct
0.000 0.000 0.500 Ge
0.500 0.500 0.500 P
```

Material: Rb2Cd4InHg3
Method: DFT, GGA-PBE
State: relaxed

## Properties
formation energy from the elements: -0.115 eV per atom

Structure (POSCAR):
```
Rb2Cd4InHg3
1.0
-3.811 -3.240 0.797
2.593 -3.638 -2.388
5.103 -3.374 10.681
Rb Cd In Hg
2 4 1 3
direct
0.500 0.000 0.250 Rb
0.000 0.500 0.750 Rb
0.500 0.500 0.000 Cd
0.000 0.000 0.000 Cd
0.500 0.000 0.629 Cd
0.000 0.500 0.371 Cd
0.500 0.500 0.500 In
0.000 0.000 0.500 Hg
0.500 0.000 0.868 Hg
0.000 0.500 0.132 Hg
```

Material: Nd6SbP3Se2
Method: DFT, GGA-PBE
State: relaxed

## Properties
formation energy from raw total energies: -1.6300 eV per atom

Structure (POSCAR):
```
Nd6SbP3Se2
1.0
4.231 0.000 0.000
0.000 8.552 0.239
-2.116 -2.537 8.955
Nd Sb P Se
6 1 3 2
direct
0.327 0.925 0.655 Nd
0.662 0.594 0.325 Nd
0.673 0.075 0.345 Nd
0.997 0.265 0.994 Nd
0.003 0.735 0.006 Nd
0.338 0.406 0.675 Nd
0.500 0.000 0.000 Sb
0.500 0.500 0.000 P
0.833 0.168 0.667 P
0.167 0.832 0.333 P
0.832 0.664 0.663 Se
0.168 0.336 0.337 Se
```

Material: PuUGeRu
Method: DFT, GGA-PBE
State: relaxed

## Properties
excess energy over the best structure of this formula in the dataset: 0.000 eV/atom
formation energy from the elements: -0.241 eV per atom

Structure (POSCAR):
```
PuUGeRu
1.0
4.750 0.000 0.000
2.375 4.114 0.000
2.375 1.371 3.879
Ru Ge U Pu
1 1 1 1
direct
0.250 0.250 0.250 Ru
0.500 0.500 0.500 Ge
0.000 0.000 0.000 U
0.750 0.750 0.750 Pu
```

Material: PuBe2IrO8
Method: DFT, GGA-PBE
State: relaxed

## Properties
formation energy from raw total energies: -1.4775 eV per atom

Structure (POSCAR):
```
PuBe2IrO8
1.0
5.129 0.000 0.000
-2.564 4.442 0.000
0.000 0.000 6.096
Pu Be Ir O
1 2 1 8
direct
0.000 0.000 0.500 Pu
0.667 0.333 0.287 Be
0.333 0.667 0.713 Be
0.000 0.000 0.000 Ir
0.837 0.163 0.207 O
0.837 0.674 0.207 O
0.326 0.163 0.207 O
0.674 0.837 0.793 O
0.333 0.667 0.453 O
0.667 0.333 0.547 O
0.163 0.837 0.793 O
0.163 0.326 0.793 O
```

Material: Pu3Ge2Au9
Method: DFT, GGA-PBE
State: relaxed

## Properties
excess energy over the best structure of this formula in the dataset: 0.142 eV/atom
formation energy from the elements: -0.144 eV per atom

Structure (POSCAR):
```
Pu3Ge2Au9
1.0
-4.049 0.000 0.000
-2.025 -4.236 -9.168
-2.025 -9.890 -2.047
Pu Ge Au
3 2 9
direct
0.000 0.000 0.000 Pu
0.633 0.367 0.367 Pu
0.367 0.633 0.633 Pu
0.500 0.300 0.700 Ge
0.500 0.700 0.300 Ge
0.000 0.500 0.500 Au
0.381 0.965 0.273 Au
0.619 0.035 0.727 Au
0.381 0.273 0.965 Au
0.619 0.727 0.035 Au
0.225 0.119 0.431 Au
0.775 0.881 0.569 Au
0.225 0.431 0.119 Au
0.775 0.569 0.881 Au
```

Material: Na4Zr3Se8
Method: DFT, GGA-PBE
State: relaxed

## Properties
formation energy from raw total energies: -1.2543 eV per atom

Structure (POSCAR):
```
Na4Zr3Se8
1.0
6.979 0.000 3.764
2.474 6.525 3.764
-0.249 -0.172 8.814
Na Zr Se
4 3 8
direct
0.000 0.000 0.000 Na
0.359 0.359 0.922 Na
0.500 0.500 0.500 Na
0.641 0.641 0.078 Na
0.500 0.000 0.500 Zr
0.000 0.000 0.500 Zr
0.000 0.500 0.500 Zr
0.234 0.234 0.297 Se
0.215 0.746 0.293 Se
0.746 0.746 0.293 Se
0.746 0.215 0.293 Se
0.766 0.766 0.703 Se
0.785 0.254 0.707 Se
0.254 0.254 0.707 Se
0.254 0.785 0.707 Se
```

Material: Ir9PtRh2
Method: DFT, GGA-PBE
State: relaxed

## Properties
formation energy from the elements: 0.017 eV per atom

Structure (POSCAR):
```
Ir9PtRh2
1.0
3.875 0.000 0.000
0.000 3.875 0.000
0.000 0.000 11.634
Ir Pt Rh
9 1 2
direct
0.500 0.500 0.000 Ir
0.500 0.500 0.334 Ir
0.500 0.500 0.666 Ir
0.500 0.000 0.169 Ir
0.500 0.000 0.500 Ir
0.500 0.000 0.831 Ir
0.000 0.500 0.169 Ir
0.000 0.500 0.500 Ir
0.000 0.500 0.831 Ir
0.000 0.000 0.000 Pt
0.000 0.000 0.334 Rh
0.000 0.000 0.666 Rh
```

Material: Dy4GaTe4
Method: DFT, GGA-PBE
State: relaxed

## Properties
formation energy from raw total energies: -0.8065 eV per atom

Structure (POSCAR):
```
Dy4GaTe4
1.0
-5.555 -2.870 -2.725
2.729 0.624 -6.220
4.472 -5.447 5.155
Dy Ga Te
4 1 4
direct
0.659 0.659 0.742 Dy
0.341 0.917 0.258 Dy
0.083 0.083 0.742 Dy
0.917 0.341 0.258 Dy
0.000 0.000 0.000 Ga
0.500 0.000 0.000 Te
0.000 0.500 0.000 Te
0.284 0.284 0.567 Te
0.716 0.716 0.433 Te
```